A relaxed YSi2Ni2 crystal, computed with PBEsol.

Results
**E_form (uncorrected)**: -447 kJ/mol of formula units
**Energy**: -7.053 eV/atom
**Fermi-level density of states**: 3.31 states/eV per cell

Cell: 5.4736 5.4736 5.4736 Å, 137.99 137.99 60.92°
Closest atoms and distances in Å follow each position.
Atoms (fractional coordinates):
Y: 0.0000 0.0000 0.0000  8 Si 3.02, 8 Ni 3.07
Si: 0.3727 0.3727 0.0000  4 Ni 2.28, 1 Si 2.40
Si: 0.6273 0.6273 0.0000  4 Ni 2.28, 1 Si 2.40
Ni: 0.2500 0.7500 0.5000  4 Si 2.28
Ni: 0.7500 0.2500 0.5000  4 Si 2.28

***

A relaxed YSiNi2 crystal, computed with PBEsol.

Results
**E_form (uncorrected)**: -125 kJ/mol of formula units
**Energy**: -6.544 eV/atom
**Fermi-level density of states**: 2.61 states/eV per cell

Cell: 4.1429 4.1429 3.4134 Å, 90.08 90.08 90.01°
Closest atoms and distances in Å follow each position.
Atoms (fractional coordinates):
Y: 0.0000 0.0000 0.0000  8 Ni 2.68-2.69, 4 Si 2.93
Si: 0.5000 0.5000 0.0000  8 Ni 2.68-2.69, 4 Y 2.93
Ni: 0.0000 0.5000 0.5000  4 Si 2.68-2.69, 4 Y 2.68-2.69, 4 Ni 2.93
Ni: 0.5000 0.0000 0.5000  4 Si 2.68-2.69, 4 Y 2.68-2.69, 4 Ni 2.93

***

A relaxed ZnSi4Ni crystal, computed with PBEsol.

Results
**E_form (uncorrected)**: 264 kJ/mol of formula units
**Energy**: -4.666 eV/atom
**Fermi-level density of states**: 3.28 states/eV per cell

Cell: 4.9233 4.9233 4.9233 Å, 60.00 60.00 60.00°
Closest atoms and distances in Å follow each position.
Atoms (fractional coordinates):
Zn: 0.0000 0.0000 0.0000  12 Si 2.89, 4 Ni 3.01
Si: 0.1253 0.6249 0.6249  6 Si 2.46
Si: 0.6249 0.1253 0.6249  6 Si 2.46
Si: 0.6249 0.6249 0.1253  6 Si 2.46
Si: 0.6249 0.6249 0.6249  6 Si 2.46
Ni: 0.2500 0.2500 0.2500  12 Si 2.89, 4 Zn 3.01